Entry 1:
Density functional theory data (PBE) for a relaxed Al2TcOs crystal.

Values from the calculation:
Energy above the lowest structure with this stoichiometry in meV per atom: 172
D(E_F) in states/eV/atom: 0.500
Symmetry: Cmmm (65)
Energy in eV for the cell shown: -29.74
ΔE_f in eV per atom: -0.16
Spin magnetization in μB per atom: 0.00

```
Al2TcOs
1.0
-0.306 -2.746 0.203
2.360 0.804 -1.207
3.728 0.129 7.373
Os Tc Al
1 1 2
Cartesian
1.959 -0.939 1.341
3.823 -0.874 5.028
1.860 0.064 3.678
0.004 0.000 0.008
```

---

Entry 2:
Density functional theory data (PBE) for a relaxed HfGa2OsC crystal.

Values from the calculation:
D(E_F) in states/eV/atom: 0.494
Symmetry: P4/mmm (123)
Energy in eV for the cell shown: -34.46
ΔE_f in eV per atom: 0.40
Spin magnetization in μB per atom: 0.00

```
HfGa2OsC
1.0
4.460 0.000 0.000
0.000 3.894 0.000
0.000 0.000 4.460
C Os Ga Hf
1 1 2 1
Cartesian
0.000 0.000 0.000
0.000 1.947 0.000
0.000 0.000 2.230
2.230 0.000 0.000
2.230 1.947 2.230
```

---

Entry 3:
Density functional theory data (PBE) for a relaxed Sc2PtW crystal.

Values from the calculation:
Energy above the lowest structure with this stoichiometry in meV per atom: 268
D(E_F) in states/eV/atom: 0.852
Symmetry: C2/m (12)
Energy in eV for the cell shown: -32.16
ΔE_f in eV per atom: -0.13
Spin magnetization in μB per atom: 0.00

```
Sc2PtW
1.0
-4.665 0.721 0.845
-3.902 -1.733 2.183
0.385 2.740 4.807
Sc Pt W
2 1 1
Cartesian
-8.531 -1.006 3.019
-4.126 0.858 3.927
-2.045 0.432 1.959
-6.136 1.296 5.877
```

---

Entry 4:
Density functional theory data (PBE) for a relaxed Na2AcAlF8 crystal.

Values from the calculation:
D(E_F) in states/eV/atom: 0.000
ΔE_f (raw) in meV/atom: -3454
Symmetry: P2/m (10)
Energy in eV for the cell shown: -66.91
Spin magnetization in μB per atom: 0.01

```
Na2AcAlF8
1.0
4.581 -0.049 -0.002
-0.008 5.347 -0.006
0.004 0.008 7.104
F Na Ac Al
8 2 1 1
Cartesian
1.402 1.133 7.102
0.677 4.291 1.384
3.175 4.174 -0.006
2.589 3.955 3.546
3.900 1.016 5.711
0.680 4.296 5.710
3.897 1.011 1.386
1.988 1.351 3.549
2.287 2.651 1.537
2.290 2.655 5.559
0.002 0.004 3.552
0.000 0.000 0.000
```